# CaTm2Te4 | Alexandria | GGA-PBEsol | relaxed
# **Crystal system**: monoclinic
# **Volume**: 32.5 Å³/atom
# **Raw total energy**: -5.14 eV/atom
# **Formation energy without anion corrections**: -1.4252 eV/atom
data_CaTm2Te4
_cell_length_a 7.3417
_cell_length_b 4.2890
_cell_length_c 7.5988
_cell_angle_alpha 90.00
_cell_angle_beta 107.83
_cell_angle_gamma 90.00
_symmetry_space_group_name_H-M 'P 1 2/m 1'
_symmetry_Int_Tables_number 10
_symmetry_space_group_name_Hall '-P 2y'
loop_
_atom_site_label
_atom_site_type_symbol
_atom_site_fract_x
_atom_site_fract_y
_atom_site_fract_z
_atom_site_occupancy
Ca1 Ca 0.0000 0.0000 0.0000 1
Tm1 Tm 0.0000 0.5000 0.5000 1
Tm2 Tm 0.5000 0.0000 0.5000 1
Te1 Te 0.2477 0.0000 0.7385 1
Te2 Te 0.2626 0.5000 0.2559 1